{
  "formula": "Pa2CuNi12B3",
  "functional": "PBE",
  "state": "optimized geometry",
  "lattice_angstrom": [[-3.655, 3.773, 3.928], [0.590, -1.533, 6.350], [3.515, 4.367, 3.406]],
  "species": ["B", "B", "B", "Ni", "Ni", "Ni", "Ni", "Ni", "Ni", "Ni", "Ni", "Ni", "Ni", "Ni", "Ni", "Pa", "Pa", "Cu"],
  "frac_coords": [[0.000, 0.000, 0.500], [0.500, 0.000, 0.000], [0.000, 0.500, 0.000], [0.856, 0.856, 0.408], [0.144, 0.144, 0.592], [0.856, 0.408, 0.856], [0.280, 0.280, 0.873], [0.144, 0.592, 0.144], [0.280, 0.873, 0.280], [0.720, 0.720, 0.127], [0.592, 0.144, 0.144], [0.873, 0.280, 0.280], [0.127, 0.720, 0.720], [0.408, 0.856, 0.856], [0.720, 0.127, 0.720], [0.397, 0.397, 0.397], [0.603, 0.603, 0.603], [0.000, 0.000, 0.000]],
  "dos_ef_per_ev_cell": 9.607,
  "spacegroup": "R-3m",
  "delta_e_f_ev_per_atom": -0.099,
  "total_magnetization_mub_per_fu": 0.00
}


{
  "formula": "Pr2CuNi12B3",
  "functional": "PBE",
  "state": "optimized geometry",
  "lattice_angstrom": [[6.749, -0.293, -0.208], [3.078, 6.013, -0.208], [3.078, 1.792, 5.743]],
  "species": ["Ni", "Ni", "Ni", "Ni", "Ni", "Ni", "Ni", "Ni", "Ni", "Ni", "Ni", "Ni", "Pr", "Pr", "Cu", "B", "B", "B"],
  "frac_coords": [[0.872, 0.872, 0.397], [0.128, 0.603, 0.128], [0.278, 0.278, 0.889], [0.872, 0.397, 0.872], [0.722, 0.722, 0.111], [0.111, 0.722, 0.722], [0.889, 0.278, 0.278], [0.603, 0.128, 0.128], [0.128, 0.128, 0.603], [0.278, 0.889, 0.278], [0.397, 0.872, 0.872], [0.722, 0.111, 0.722], [0.398, 0.398, 0.398], [0.602, 0.602, 0.602], [0.000, 0.000, 0.000], [0.000, 0.000, 0.500], [0.000, 0.500, 0.000], [0.500, 0.000, 0.000]],
  "dos_ef_per_ev_cell": 11.954,
  "spacegroup": "R-3m",
  "delta_e_f_ev_per_atom": 0.016,
  "total_magnetization_mub_per_fu": 0.00
}


{
  "formula": "CuNi5B2Pt2",
  "functional": "PBE",
  "state": "optimized geometry",
  "lattice_angstrom": [[2.887, 0.000, 0.000], [0.000, 8.684, 0.000], [0.000, 0.000, 8.684]],
  "species": ["Pt", "Pt", "Pt", "Pt", "B", "B", "B", "B", "Cu", "Cu", "Ni", "Ni", "Ni", "Ni", "Ni", "Ni", "Ni", "Ni", "Ni", "Ni"],
  "frac_coords": [[0.000, 0.686, 0.186], [0.000, 0.314, 0.814], [0.000, 0.814, 0.686], [0.000, 0.186, 0.314], [0.000, 0.869, 0.369], [0.000, 0.631, 0.869], [0.000, 0.131, 0.631], [0.000, 0.369, 0.131], [0.000, 0.500, 0.500], [0.000, 0.000, 0.000], [0.500, 0.000, 0.500], [0.500, 0.942, 0.223], [0.500, 0.723, 0.442], [0.500, 0.277, 0.558], [0.500, 0.223, 0.058], [0.500, 0.058, 0.777], [0.500, 0.442, 0.277], [0.500, 0.777, 0.942], [0.500, 0.558, 0.723], [0.500, 0.500, 0.000]],
  "dos_ef_per_ev_cell": 13.630,
  "spacegroup": "P4/mbm",
  "delta_e_f_ev_per_atom": -0.162,
  "total_magnetization_mub_per_fu": 0.00
}


{
  "formula": "CuNiBRh2",
  "functional": "PBE",
  "state": "optimized geometry",
  "lattice_angstrom": [[4.062, 0.000, 0.000], [0.000, 4.062, 0.000], [0.000, 0.000, 3.817]],
  "species": ["Rh", "Rh", "Ni", "Cu", "B"],
  "frac_coords": [[0.500, 0.000, 0.000], [0.000, 0.500, 0.000], [0.000, 0.000, 0.500], [0.500, 0.500, 0.500], [0.000, 0.000, 0.000]],
  "dos_ef_per_ev_cell": 7.504,
  "spacegroup": "P4/mmm",
  "delta_e_f_ev_per_atom": 0.043,
  "total_magnetization_mub_per_fu": 1.24
}


{
  "formula": "Cu2NiBS4",
  "functional": "PBE",
  "state": "optimized geometry",
  "lattice_angstrom": [[5.004, 0.001, -0.004], [0.000, 5.001, -0.003], [-2.501, -2.500, 4.981]],
  "species": ["S", "S", "S", "S", "Cu", "Cu", "Ni", "B"],
  "frac_coords": [[0.657, 0.599, 0.742], [0.085, 0.144, 0.742], [0.874, 0.387, 0.201], [0.328, 0.815, 0.201], [0.486, 0.986, 0.972], [0.236, 0.236, 0.472], [0.736, 0.736, 0.472], [0.986, 0.486, 0.972]],
  "dos_ef_per_ev_cell": 5.657,
  "spacegroup": "I-4",
  "total_magnetization_mub_per_fu": 0.00,
  "e_form_raw_ev_per_atom": -0.32
}


{
  "formula": "CuNi2BSe",
  "functional": "PBE",
  "state": "optimized geometry",
  "lattice_angstrom": [[-1.335, 1.347, 3.418], [-3.689, -1.357, -0.906], [0.847, -3.426, 1.681]],
  "species": ["Se", "Cu", "Ni", "Ni", "B"],
  "frac_coords": [[0.500, 0.500, 0.500], [0.000, 0.500, 0.000], [0.500, 0.000, 0.000], [0.000, 0.000, 0.500], [0.000, 0.000, 0.000]],
  "dos_ef_per_ev_cell": 1.215,
  "spacegroup": "P4/mmm",
  "total_magnetization_mub_per_fu": 0.00,
  "e_form_raw_ev_per_atom": 0.15
}